A relaxed KZr2Mn crystal. Source: Alexandria via LeMat-Bulk, functional GGA-PBE.

Calculated values
Offset from the most stable computed form, meV per atom: 434
Raw total energy, eV per atom: -6.099
Energy relative to the elements, eV per formula unit: 2.97
Density of states at the Fermi level, states/eV per cell: 8.74
M_tot, μB/cell: 1.2

extended XYZ file:
```
8
Lattice="3.103 0.000 0.000 0.000 5.975 0.000 0.000 0.000 10.745" Properties=species:S:1:pos:R:3 pbc="T T T"
K 0.000 0.000 0.000
K 1.551 2.987 5.373
Zr 0.000 2.987 2.061
Zr 0.000 2.987 8.685
Zr 1.551 0.000 3.312
Zr 1.551 0.000 7.433
Mn 0.000 0.000 5.373
Mn 1.551 2.987 0.000
```

A relaxed KZrMn2 crystal. Source: Alexandria via LeMat-Bulk, functional GGA-PBE.

Calculated values
Offset from the most stable computed form, meV per atom: 227
Raw total energy, eV per atom: -6.257
Energy relative to the elements, eV per formula unit: 2.96
Density of states at the Fermi level, states/eV per cell: 14.63
M_tot, μB/cell: 21.3

extended XYZ file:
```
12
Lattice="3.208 0.000 0.000 -1.604 2.778 0.000 0.000 0.000 31.608" Properties=species:S:1:pos:R:3 pbc="T T T"
K 0.000 0.000 0.000
K 0.000 1.852 21.072
K 1.604 0.926 10.536
Zr 0.000 0.000 15.804
Zr 0.000 1.852 5.268
Zr 1.604 0.926 26.340
Mn 0.000 0.000 7.463
Mn 0.000 0.000 24.145
Mn 0.000 1.852 13.609
Mn 0.000 1.852 28.535
Mn 1.604 0.926 3.073
Mn 1.604 0.926 17.999
```

A relaxed KZr2Mn crystal. Source: Alexandria via LeMat-Bulk, functional GGA-PBE.

Calculated values
Offset from the most stable computed form, meV per atom: 147
Raw total energy, eV per atom: -6.386
Energy relative to the elements, eV per formula unit: 1.82
Density of states at the Fermi level, states/eV per cell: 3.34
M_tot, μB/cell: 3.7

extended XYZ file:
```
4
Lattice="3.286 0.000 0.000 0.000 3.286 0.000 0.000 0.000 9.942" Properties=species:S:1:pos:R:3 pbc="T T T"
K 0.000 0.000 0.000
Zr 0.000 0.000 4.439
Zr 1.643 1.643 6.502
Mn 1.643 1.643 2.831
```

A relaxed KZr2Mn crystal. Source: Alexandria via LeMat-Bulk, functional GGA-PBE.

Calculated values
Offset from the most stable computed form, meV per atom: 759
Raw total energy, eV per atom: -5.774
Energy relative to the elements, eV per formula unit: 4.27
Density of states at the Fermi level, states/eV per cell: 26.59
M_tot, μB/cell: 0.0

extended XYZ file:
```
16
Lattice="6.906 0.000 0.000 0.000 6.906 0.000 0.000 0.000 6.906" Properties=species:S:1:pos:R:3 pbc="T T T"
K 0.000 0.000 0.000
K 0.000 3.453 3.453
K 3.453 0.000 3.453
K 3.453 3.453 0.000
Zr 1.727 1.727 1.727
Zr 1.727 1.727 5.180
Zr 1.727 5.180 1.727
Zr 1.727 5.180 5.180
Zr 5.180 1.727 1.727
Zr 5.180 1.727 5.180
Zr 5.180 5.180 1.727
Zr 5.180 5.180 5.180
Mn 0.000 0.000 3.453
Mn 0.000 3.453 0.000
Mn 3.453 0.000 0.000
Mn 3.453 3.453 3.453
```

A relaxed KZrMn crystal. Source: Alexandria via LeMat-Bulk, functional GGA-PBE.

Calculated values
Offset from the most stable computed form, meV per atom: 116
Raw total energy, eV per atom: -5.517
Energy relative to the elements, eV per formula unit: 2.27
Density of states at the Fermi level, states/eV per cell: 3.81
M_tot, μB/cell: 3.6

extended XYZ file:
```
3
Lattice="3.231 0.000 0.000 -1.615 2.798 0.000 0.000 0.000 8.650" Properties=species:S:1:pos:R:3 pbc="T T T"
K 0.000 0.000 0.000
Zr 0.000 1.865 5.209
Mn 1.615 0.933 3.080
```

A relaxed KZr2Mn crystal. Source: Alexandria via LeMat-Bulk, functional GGA-PBE.

Calculated values
Offset from the most stable computed form, meV per atom: 612
Raw total energy, eV per atom: -5.921
Energy relative to the elements, eV per formula unit: 3.68
Density of states at the Fermi level, states/eV per cell: 8.96
M_tot, μB/cell: 6.6

extended XYZ file:
```
8
Lattice="6.318 0.000 0.000 0.000 11.470 0.000 -1.261 0.000 2.704" Properties=species:S:1:pos:R:3 pbc="T T T"
K 0.000 0.000 0.000
K 3.159 5.735 0.000
Zr 0.949 2.868 1.352
Zr 0.949 8.603 1.352
Zr 4.107 2.868 1.352
Zr 4.107 8.603 1.352
Mn 0.000 5.735 0.000
Mn 3.159 0.000 0.000
```

A relaxed KZrMn2 crystal. Source: Alexandria via LeMat-Bulk, functional GGA-PBE.

Calculated values
Offset from the most stable computed form, meV per atom: 628
Raw total energy, eV per atom: -5.856
Energy relative to the elements, eV per formula unit: 4.56
Density of states at the Fermi level, states/eV per cell: 23.10
M_tot, μB/cell: 22.7

extended XYZ file:
```
16
Lattice="7.019 0.000 0.000 0.000 7.019 0.000 0.000 0.000 7.019" Properties=species:S:1:pos:R:3 pbc="T T T"
K 0.000 0.000 0.000
K 0.000 3.510 3.510
K 3.510 0.000 3.510
K 3.510 3.510 0.000
Zr 1.755 1.755 1.755
Zr 1.755 5.265 5.265
Zr 5.265 1.755 5.265
Zr 5.265 5.265 1.755
Mn 0.000 0.000 3.510
Mn 0.000 3.510 0.000
Mn 1.755 1.755 5.265
Mn 1.755 5.265 1.755
Mn 3.510 0.000 0.000
Mn 3.510 3.510 3.510
Mn 5.265 1.755 1.755
Mn 5.265 5.265 5.265
```

A relaxed KZr4Mn crystal. Source: Alexandria via LeMat-Bulk, functional GGA-PBE.

Calculated values
Raw total energy, eV per atom: -6.548
Energy relative to the elements, eV per formula unit: 5.17
Density of states at the Fermi level, states/eV per cell: 6.54
M_tot, μB/cell: 4.0

extended XYZ file:
```
6
Lattice="0.000 4.252 4.252 4.252 0.000 4.252 4.252 4.252 0.000" Properties=species:S:1:pos:R:3 pbc="T T T"
K 0.000 0.000 0.000
Zr 3.215 3.215 3.215
Zr 5.289 5.289 3.215
Zr 5.289 3.215 5.289
Zr 3.215 5.289 5.289
Mn 6.378 6.378 6.378
```

A relaxed KZrMn crystal. Source: Alexandria via LeMat-Bulk, functional GGA-PBE.

Calculated values
Offset from the most stable computed form, meV per atom: 0
Raw total energy, eV per atom: -5.632
Energy relative to the elements, eV per formula unit: 1.92
Density of states at the Fermi level, states/eV per cell: 6.12
M_tot, μB/cell: 6.4

extended XYZ file:
```
6
Lattice="3.209 0.000 0.000 0.000 3.209 0.000 0.000 0.000 15.936" Properties=species:S:1:pos:R:3 pbc="T T T"
K 0.000 0.000 0.000
K 1.605 1.605 7.968
Zr 0.000 0.000 11.455
Zr 1.605 1.605 3.487
Mn 0.000 0.000 5.114
Mn 1.605 1.605 13.082
```

A relaxed KZrMn2 crystal. Source: Alexandria via LeMat-Bulk, functional GGA-PBE.

Calculated values
Offset from the most stable computed form, meV per atom: 693
Raw total energy, eV per atom: -5.791
Energy relative to the elements, eV per formula unit: 4.82
Density of states at the Fermi level, states/eV per cell: 14.47
M_tot, μB/cell: 22.2

extended XYZ file:
```
16
Lattice="5.264 0.000 0.000 0.000 5.264 0.000 0.000 0.000 17.782" Properties=species:S:1:pos:R:3 pbc="T T T"
K 0.000 1.316 6.668
K 0.000 3.948 11.114
K 2.632 1.316 2.223
K 2.632 3.948 15.560
Zr 0.000 1.316 15.560
Zr 0.000 3.948 2.223
Zr 2.632 1.316 11.114
Zr 2.632 3.948 6.668
Mn 0.000 0.000 0.000
Mn 0.000 2.632 0.000
Mn 1.316 1.316 13.337
Mn 1.316 3.948 4.446
Mn 2.632 0.000 8.891
Mn 2.632 2.632 8.891
Mn 3.948 1.316 13.337
Mn 3.948 3.948 4.446
```

A relaxed KZrMn2 crystal. Source: Alexandria via LeMat-Bulk, functional GGA-PBE.

Calculated values
Offset from the most stable computed form, meV per atom: 551
Raw total energy, eV per atom: -5.933
Energy relative to the elements, eV per formula unit: 4.25
Density of states at the Fermi level, states/eV per cell: 5.42
M_tot, μB/cell: 11.8

extended XYZ file:
```
8
Lattice="3.183 0.000 0.000 0.000 5.939 0.000 0.000 0.000 10.197" Properties=species:S:1:pos:R:3 pbc="T T T"
K 0.000 0.000 0.000
K 1.591 2.970 5.099
Zr 0.000 0.000 5.099
Zr 1.591 2.970 0.000
Mn 0.000 2.970 2.219
Mn 0.000 2.970 7.979
Mn 1.591 0.000 2.880
Mn 1.591 0.000 7.317
```

A relaxed KZr2Mn crystal. Source: Alexandria via LeMat-Bulk, functional GGA-PBE.

Calculated values
Offset from the most stable computed form, meV per atom: 294
Raw total energy, eV per atom: -6.239
Energy relative to the elements, eV per formula unit: 2.41
Density of states at the Fermi level, states/eV per cell: 8.69
M_tot, μB/cell: 0.0

extended XYZ file:
```
8
Lattice="3.212 0.000 0.000 0.000 4.257 0.000 0.000 0.000 16.689" Properties=species:S:1:pos:R:3 pbc="T T T"
K 0.000 0.000 0.000
K 1.606 2.128 8.344
Zr 0.000 0.000 5.197
Zr 0.000 2.128 3.089
Zr 1.606 0.000 11.434
Zr 1.606 2.128 13.542
Mn 0.000 2.128 11.634
Mn 1.606 0.000 3.289
```

A relaxed KZr2Mn crystal. Source: Alexandria via LeMat-Bulk, functional GGA-PBE.

Calculated values
Offset from the most stable computed form, meV per atom: 345
Raw total energy, eV per atom: -6.188
Energy relative to the elements, eV per formula unit: 2.61
Density of states at the Fermi level, states/eV per cell: 7.27
M_tot, μB/cell: 0.0

extended XYZ file:
```
8
Lattice="9.092 0.000 0.000 0.000 3.207 0.000 -2.336 0.000 7.998" Properties=species:S:1:pos:R:3 pbc="T T T"
K 0.000 0.000 0.000
K 4.546 1.603 0.000
Zr -0.160 1.603 4.980
Zr 2.275 1.603 3.075
Zr 4.386 0.000 4.980
Zr 6.821 0.000 3.075
Mn 1.918 0.000 4.912
Mn 6.464 1.603 4.912
```

A relaxed KZr2Mn crystal. Source: Alexandria via LeMat-Bulk, functional GGA-PBE.

Calculated values
Offset from the most stable computed form, meV per atom: 145
Raw total energy, eV per atom: -6.387
Energy relative to the elements, eV per formula unit: 1.81
Density of states at the Fermi level, states/eV per cell: 7.44
M_tot, μB/cell: 0.4

extended XYZ file:
```
8
Lattice="7.369 0.000 0.000 0.000 3.195 0.000 -0.547 0.000 9.472" Properties=species:S:1:pos:R:3 pbc="T T T"
K 0.000 0.000 0.000
K 3.685 1.597 0.000
Zr 1.334 0.000 6.062
Zr 1.804 1.597 3.409
Zr 5.018 1.597 6.062
Zr 5.488 0.000 3.409
Mn -0.274 1.597 4.736
Mn 3.411 0.000 4.736
```

A relaxed KZrMn2 crystal. Source: Alexandria via LeMat-Bulk, functional GGA-PBE.

Calculated values
Offset from the most stable computed form, meV per atom: 381
Raw total energy, eV per atom: -6.103
Energy relative to the elements, eV per formula unit: 3.57
Density of states at the Fermi level, states/eV per cell: 8.77
M_tot, μB/cell: 14.1

extended XYZ file:
```
8
Lattice="7.628 0.000 0.000 0.000 7.649 0.000 0.000 0.000 3.084" Properties=species:S:1:pos:R:3 pbc="T T T"
K 0.000 0.000 0.000
K 3.814 3.825 0.000
Zr 0.000 3.825 0.000
Zr 3.814 0.000 0.000
Mn 1.907 1.912 1.542
Mn 1.907 5.737 1.542
Mn 5.721 1.912 1.542
Mn 5.721 5.737 1.542
```

A relaxed KZr2Mn crystal. Source: Alexandria via LeMat-Bulk, functional GGA-PBE.

Calculated values
Offset from the most stable computed form, meV per atom: 258
Raw total energy, eV per atom: -6.274
Energy relative to the elements, eV per formula unit: 2.27
Density of states at the Fermi level, states/eV per cell: 15.41
M_tot, μB/cell: 9.1

extended XYZ file:
```
12
Lattice="3.233 0.000 0.000 -1.617 2.800 0.000 0.000 0.000 33.822" Properties=species:S:1:pos:R:3 pbc="T T T"
K 0.000 0.000 0.000
K 0.000 1.867 22.548
K 1.617 0.933 11.274
Zr 0.000 0.000 17.286
Zr 0.000 0.000 26.015
Zr 0.000 1.867 6.012
Zr 0.000 1.867 14.741
Zr 1.617 0.933 3.467
Zr 1.617 0.933 28.560
Mn 0.000 0.000 8.171
Mn 0.000 1.867 30.720
Mn 1.617 0.933 19.445
```

A relaxed KZr2Mn crystal. Source: Alexandria via LeMat-Bulk, functional GGA-PBE.

Calculated values
Offset from the most stable computed form, meV per atom: 278
Raw total energy, eV per atom: -6.255
Energy relative to the elements, eV per formula unit: 2.34
Density of states at the Fermi level, states/eV per cell: 4.79
M_tot, μB/cell: 0.0

extended XYZ file:
```
4
Lattice="3.276 0.000 0.000 0.000 4.040 0.000 -1.604 0.000 8.544" Properties=species:S:1:pos:R:3 pbc="T T T"
K 0.000 0.000 0.000
Zr 0.090 2.020 5.390
Zr 1.342 0.000 3.450
Mn -0.404 2.020 3.126
```

A relaxed KZr2Mn crystal. Source: Alexandria via LeMat-Bulk, functional GGA-PBE.

Calculated values
Offset from the most stable computed form, meV per atom: 738
Raw total energy, eV per atom: -5.795
Energy relative to the elements, eV per formula unit: 4.18
Density of states at the Fermi level, states/eV per cell: 23.62
M_tot, μB/cell: 0.0

extended XYZ file:
```
16
Lattice="7.403 0.000 0.000 0.000 7.403 0.000 0.000 0.000 10.499" Properties=species:S:1:pos:R:3 pbc="T T T"
K 0.000 1.851 3.937
K 0.000 5.552 6.562
K 3.702 1.851 1.312
K 3.702 5.552 9.186
Zr 0.000 0.000 0.000
Zr 0.000 3.702 0.000
Zr 1.851 1.851 7.874
Zr 1.851 5.552 2.625
Zr 3.702 0.000 5.249
Zr 3.702 3.702 5.249
Zr 5.552 1.851 7.874
Zr 5.552 5.552 2.625
Mn 0.000 1.851 9.186
Mn 0.000 5.552 1.312
Mn 3.702 1.851 6.562
Mn 3.702 5.552 3.937
```

A relaxed KZrMn2 crystal. Source: Alexandria via LeMat-Bulk, functional GGA-PBE.

Calculated values
Offset from the most stable computed form, meV per atom: 61
Raw total energy, eV per atom: -6.423
Energy relative to the elements, eV per formula unit: 2.29
Density of states at the Fermi level, states/eV per cell: 14.06
M_tot, μB/cell: 3.1

extended XYZ file:
```
12
Lattice="3.701 0.000 0.000 -1.850 3.205 0.000 0.000 0.000 24.791" Properties=species:S:1:pos:R:3 pbc="T T T"
K 0.000 0.000 0.000
K 0.000 2.137 16.528
K 1.850 1.068 8.264
Zr 0.000 0.000 4.634
Zr 0.000 2.137 21.162
Zr 1.850 1.068 12.898
Mn 0.000 0.000 11.114
Mn 0.000 0.000 19.410
Mn 0.000 2.137 2.850
Mn 0.000 2.137 11.146
Mn 1.850 1.068 2.883
Mn 1.850 1.068 19.378
```

A relaxed KMo crystal. Source: Alexandria via LeMat-Bulk, functional GGA-PBE.

Calculated values
Offset from the most stable computed form, meV per atom: 1974
Raw total energy, eV per atom: -3.244
Energy relative to the elements, eV per formula unit: 5.44
Density of states at the Fermi level, states/eV per cell: 1.83
M_tot, μB/cell: 20.1

extended XYZ file:
```
8
Lattice="8.345 0.000 0.000 0.000 8.345 0.000 0.000 0.000 8.345" Properties=species:S:1:pos:R:3 pbc="T T T"
K 0.000 0.000 0.000
K 0.000 4.173 4.173
K 4.173 0.000 4.173
K 4.173 4.173 0.000
Mo 2.086 2.086 2.086
Mo 2.086 6.259 6.259
Mo 6.259 2.086 6.259
Mo 6.259 6.259 2.086
```